VASP calculation (PBE) on crystalline Sr2Nb2Cl at its relaxed geometry.

Summary:
total magnetic moment: 0.000 μB per atom
excess energy over the best structure of this formula in the dataset: 0 meV per atom
crystal system: tetragonal
formation energy without anion corrections: -169 meV per atom
E_tot: -5.239 eV per atom
theoretical density: 4.53 g cm⁻³
DOS at the Fermi energy: 7.77 states/eV/cell

Cell lengths 3.816, 3.816, 19.961 Å; angles 90.00, 90.00, 90.00 degrees
Space group I4/mmm (No. 139)
Asymmetric unit:
Sr (0.000, 0.000, 0.106)
Nb (0.000, 0.500, 0.250)
Cl (0.000, 0.000, 0.500)



VASP calculation (PBE) on crystalline SrNb2TcCl at its relaxed geometry.

Summary:
total magnetic moment: 0.000 μB per atom
crystal system: tetragonal
formation energy without anion corrections: 799 meV per atom
E_tot: -6.008 eV per atom
theoretical density: 6.54 g cm⁻³
DOS at the Fermi energy: 4.88 states/eV/cell

Cell lengths 4.723, 4.723, 4.632 Å; angles 90.00, 90.00, 90.00 degrees
Space group P4/mmm (No. 123)
Asymmetric unit:
Sr (0.000, 0.000, 0.000)
Nb (0.000, 0.500, 0.500)
Tc (0.500, 0.500, 0.000)
Cl (0.500, 0.500, 0.500)